A relaxed Ta2As crystal. Source: the Open Quantum Materials Database, functional GGA-PBE.

```
Ta2As
1.0
0.000 3.870 3.870
3.870 0.000 3.870
3.870 3.870 0.000
As Ta
2 4
Cartesian
1.935 1.935 1.935
0.000 0.000 0.000
2.902 2.902 4.837
2.902 4.837 2.902
4.837 2.902 2.902
4.837 4.837 4.837
```

Calculated values
Calculated density (g cm⁻³): 12.5
Final energy (eV per atom): -8.90